Record 1
# NaSr2Ni2 (meta-GGA SCAN, single point on PBEsol structure)
data_NaSr2Ni2
_cell_length_a 5.6230
_cell_length_b 5.7719
_cell_length_c 5.6230
_cell_angle_alpha 60.85
_cell_angle_beta 90.00
_cell_angle_gamma 119.15
_symmetry_space_group_name_H-M 'P 1'
_symmetry_Int_Tables_number 1
loop_
_symmetry_equiv_pos_as_xyz
'x,y,z'
loop_
_atom_site_label
_atom_site_type_symbol
_atom_site_fract_x
_atom_site_fract_y
_atom_site_fract_z
Sr1 Sr 0.2500 0.5000 0.2500
Ni1 Ni 0.6360 0.2720 0.3640
Ni2 Ni 0.3640 0.7280 0.6360
Na1 Na 0.0000 0.0000 0.0000
Sr2 Sr 0.7500 0.5000 0.7500
# Total DFT energy (no corrections) in eV/atom: -15.851
# Volume in Å³/cell: 132


Record 2
# CuTeSe2 (meta-GGA SCAN, single point on PBEsol structure)
data_CuTeSe2
_cell_length_a 5.5666
_cell_length_b 5.5666
_cell_length_c 7.7316
_cell_angle_alpha 111.10
_cell_angle_beta 111.10
_cell_angle_gamma 90.00
_symmetry_space_group_name_H-M 'P 1'
_symmetry_Int_Tables_number 1
loop_
_symmetry_equiv_pos_as_xyz
'x,y,z'
loop_
_atom_site_label
_atom_site_type_symbol
_atom_site_fract_x
_atom_site_fract_y
_atom_site_fract_z
Cu1 Cu 0.5000 0.5000 0.0000
Se1 Se 0.8136 0.3750 0.2500
Se2 Se 0.6250 0.5636 0.7500
Se3 Se 0.1250 0.1864 0.7500
Se4 Se 0.4364 0.8750 0.2500
Te1 Te 0.2500 0.7500 0.5000
Te2 Te 0.0000 0.0000 0.0000
Cu2 Cu 0.7500 0.2500 0.5000
# Total DFT energy (no corrections) in eV/atom: -22.988
# Formation energy (no corrections) in eV/atom: 0.164
# Volume in Å³/cell: 206


Record 3
# ZrNb2VC4 (meta-GGA SCAN, single point on PBEsol structure)
data_ZrNb2VC4
_cell_length_a 3.1448
_cell_length_b 3.1448
_cell_length_c 10.3664
_cell_angle_alpha 81.28
_cell_angle_beta 81.28
_cell_angle_gamma 60.00
_symmetry_space_group_name_H-M 'P 1'
_symmetry_Int_Tables_number 1
loop_
_symmetry_equiv_pos_as_xyz
'x,y,z'
loop_
_atom_site_label
_atom_site_type_symbol
_atom_site_fract_x
_atom_site_fract_y
_atom_site_fract_z
C1 C 0.2522 0.2522 0.2435
V1 V 0.3731 0.3731 0.8808
C2 C 0.0035 0.0035 0.9895
Nb1 Nb 0.8766 0.8766 0.3702
C3 C 0.5012 0.5012 0.4965
C4 C 0.7435 0.7435 0.7695
Zr1 Zr 0.1218 0.1218 0.6346
Nb2 Nb 0.6282 0.6282 0.1153
# Total DFT energy (no corrections) in eV/atom: -19.937
# Volume in Å³/cell: 87


Record 4
# BeZn2HS (meta-GGA SCAN, single point on PBEsol structure)
data_BeZn2HS
_cell_length_a 2.9573
_cell_length_b 4.7703
_cell_length_c 4.7703
_cell_angle_alpha 90.00
_cell_angle_beta 90.00
_cell_angle_gamma 90.00
_symmetry_space_group_name_H-M 'P 1'
_symmetry_Int_Tables_number 1
loop_
_symmetry_equiv_pos_as_xyz
'x,y,z'
loop_
_atom_site_label
_atom_site_type_symbol
_atom_site_fract_x
_atom_site_fract_y
_atom_site_fract_z
Zn1 Zn 0.0000 0.0000 0.5000
Be1 Be 0.5000 0.5000 0.5000
Zn2 Zn 0.0000 0.5000 0.0000
S1 S 0.0000 0.0000 0.0000
H1 H 0.5000 0.0000 0.0000
# Total DFT energy (no corrections) in eV/atom: -8.397
# Volume in Å³/cell: 67